1.
Material: Ac4ZnNi
Method: DFT, PBE-GGA
State: optimized geometry

CIF file:
```
data_Ac4ZnNi
_cell_length_a 6.764
_cell_length_b 7.586
_cell_length_c 8.543
_cell_angle_alpha 90.00
_cell_angle_beta 108.46
_cell_angle_gamma 90.00
_symmetry_space_group_name_H-M 'P 1 21/m 1'
_symmetry_Int_Tables_number 11
loop_
_symmetry_equiv_pos_as_xyz
'x,y,z'
'-x,-y,-z'
'-x,y+1/2,-z'
'x,-y+1/2,z'
loop_
_atom_site_label
_atom_site_fract_x
_atom_site_fract_y
_atom_site_fract_z
Ac1 0.008 0.001 0.228
Ac2 0.436 0.250 0.625
Ac3 0.451 0.250 0.096
Zn1 0.196 0.750 0.549
Ni1 0.206 0.750 0.051
```

calculated volume = 415.81 Å³ per cell
energy of formation = -0.128 eV/atom

---

2.
Material: LaCeDy6
Method: DFT, PBE-GGA
State: optimized geometry

CIF file:
```
data_LaCeDy6
_cell_length_a 6.497
_cell_length_b 6.617
_cell_length_c 7.487
_cell_angle_alpha 115.00
_cell_angle_beta 115.70
_cell_angle_gamma 90.05
_symmetry_space_group_name_H-M 'P -1'
_symmetry_Int_Tables_number 2
loop_
_symmetry_equiv_pos_as_xyz
'x,y,z'
'-x,-y,-z'
loop_
_atom_site_label
_atom_site_fract_x
_atom_site_fract_y
_atom_site_fract_z
La1 0.000 0.000 0.000
Ce1 0.500 0.000 0.000
Dy1 0.240 0.562 0.480
Dy2 0.252 0.500 0.000
Dy3 0.269 0.087 0.538
```

calculated volume = 256.06 Å³ per cell
energy of formation = 0.207 eV/atom

---

3.
Material: LiPmDy2Rh4
Method: DFT, PBE-GGA
State: optimized geometry

CIF file:
```
data_LiPmDy2Rh4
_cell_length_a 4.7338
_cell_length_b 4.7338
_cell_length_c 23.4167
_cell_angle_alpha 90.00
_cell_angle_beta 90.00
_cell_angle_gamma 120.00
_symmetry_space_group_name_H-M 'R -3 m'
_symmetry_Int_Tables_number 166
_symmetry_space_group_name_Hall '-R 3 2"'
loop_
_atom_site_label
_atom_site_fract_x
_atom_site_fract_y
_atom_site_fract_z
Li1 0.0000 0.0000 0.0000
Pm1 0.0000 0.0000 0.5000
Dy1 0.0000 0.0000 0.2593
Rh1 0.0000 0.0000 0.1218
Rh2 0.0000 0.0000 0.3762
```

calculated volume = 454.44 Å³ per cell
energy of formation = -0.657 eV/atom

---

- Among the records above, which one has the lowest energy of formation?
  LiPmDy2Rh4

---

- Which formula does entry 2 have?
  LaCeDy6

---

- Look up the calculated volume of the first one.
  415.81 Å³ per cell

---

- Which of these has the lowest energy of formation?
  LiPmDy2Rh4